# 1
{
  "formula": "Tb2Pm7Er4",
  "functional": "GGA-PBE",
  "state": "relaxed",
  "e_form_ev_per_atom": 0.067,
  "final_energy_ev_per_atom": -4.608,
  "lattice_angstrom": [[6.8295, 0.0000, 0.0000], [-2.0891, 8.4651, 0.0000], [-1.6848, -4.5395, 7.4313]],
  "species": ["Tb", "Tb", "Pm", "Pm", "Pm", "Pm", "Pm", "Pm", "Pm", "Er", "Er", "Er", "Er"],
  "fractional_positions": [[0.1962, 0.2269, 0.1244], [0.8038, 0.7731, 0.8756], [0.1493, 0.9719, 0.6843], [0.2565, 0.5066, 0.5685], [0.4129, 0.1410, 0.4564], [0.5000, 0.5000, 0.0000], [0.5871, 0.8590, 0.5436], [0.7435, 0.4934, 0.4315], [0.8507, 0.0281, 0.3157], [0.0760, 0.6489, 0.2227], [0.3229, 0.8279, 0.9934], [0.6771, 0.1721, 0.0066], [0.9240, 0.3511, 0.7773]]
}



# 2
{
  "formula": "Y4GaTeSe2",
  "functional": "GGA-PBE",
  "state": "relaxed",
  "e_form_raw_ev_per_atom": -1.39,
  "final_energy_ev_per_atom": -6.269,
  "lattice_angstrom": [[7.2782, 0.0000, 0.0000], [0.0000, 4.1135, 0.0000], [-2.3689, 0.0000, 6.9819]],
  "species": ["Y", "Y", "Y", "Y", "Ga", "Te", "Se", "Se"],
  "fractional_positions": [[0.2430, 0.0000, 0.2271], [0.2517, 0.5000, 0.7622], [0.7483, 0.5000, 0.2378], [0.7570, 0.0000, 0.7729], [0.5000, 0.0000, 0.0000], [0.5000, 0.5000, 0.5000], [0.0000, 0.0000, 0.5000], [0.0000, 0.5000, 0.0000]]
}



# 3
{
  "formula": "HfFeSe",
  "functional": "GGA-PBE",
  "state": "relaxed",
  "e_form_raw_ev_per_atom": -0.65,
  "final_energy_ev_per_atom": -7.947,
  "lattice_angstrom": [[1.8715, 1.0805, 10.4484], [-1.8715, 1.0805, 10.4484], [0.0000, -2.1610, 10.4484]],
  "species": ["Hf", "Hf", "Fe", "Fe", "Se", "Se"],
  "fractional_positions": [[0.0600, 0.0600, 0.0600], [0.9400, 0.9400, 0.9400], [0.3361, 0.3361, 0.3361], [0.6639, 0.6639, 0.6639], [0.2228, 0.2228, 0.2228], [0.7772, 0.7772, 0.7772]]
}



# 4
{
  "formula": "Dy2Si7Pt12",
  "functional": "GGA-PBE",
  "state": "relaxed",
  "e_form_raw_ev_per_atom": -0.91,
  "final_energy_ev_per_atom": -6.610,
  "lattice_angstrom": [[9.9443, 0.0000, 0.0000], [-4.9722, 8.6121, 0.0000], [0.0000, 0.0000, 3.9489]],
  "species": ["Dy", "Dy", "Si", "Si", "Si", "Si", "Si", "Si", "Si", "Pt", "Pt", "Pt", "Pt", "Pt", "Pt", "Pt", "Pt", "Pt", "Pt", "Pt", "Pt"],
  "fractional_positions": [[0.3333, 0.6667, 0.2460], [0.6667, 0.3333, 0.7540], [0.0000, 0.0000, 0.5000], [0.1172, 0.4049, 0.7467], [0.2876, 0.8828, 0.7467], [0.4049, 0.2876, 0.2533], [0.5951, 0.7124, 0.7467], [0.7124, 0.1172, 0.2533], [0.8828, 0.5951, 0.2533], [0.0741, 0.6198, 0.7492], [0.1131, 0.8525, 0.2422], [0.1475, 0.2606, 0.2422], [0.2606, 0.1131, 0.7578], [0.3802, 0.4544, 0.7492], [0.4544, 0.0741, 0.2508], [0.5456, 0.9259, 0.7492], [0.6198, 0.5456, 0.2508], [0.7394, 0.8869, 0.2422], [0.8525, 0.7394, 0.7578], [0.8869, 0.1475, 0.7578], [0.9259, 0.3802, 0.2508]]
}



# 5
{
  "formula": "Ac4BiSb2I",
  "functional": "GGA-PBE",
  "state": "relaxed",
  "e_form_raw_ev_per_atom": -1.13,
  "final_energy_ev_per_atom": -4.898,
  "lattice_angstrom": [[8.2962, 0.0000, 0.0000], [0.0000, 4.8161, 0.0000], [-2.7874, 0.0000, 7.8994]],
  "species": ["Ac", "Ac", "Ac", "Ac", "Bi", "Sb", "Sb", "I"],
  "fractional_positions": [[0.2349, 0.0000, 0.2298], [0.2465, 0.5000, 0.7627], [0.7535, 0.5000, 0.2373], [0.7651, 0.0000, 0.7702], [0.0000, 0.0000, 0.5000], [0.0000, 0.5000, 0.0000], [0.5000, 0.0000, 0.0000], [0.5000, 0.5000, 0.5000]]
}



# 6
{
  "formula": "K2MnMo",
  "functional": "GGA-PBE",
  "state": "relaxed",
  "e_form_ev_per_atom": 0.940,
  "final_energy_ev_per_atom": -4.609,
  "lattice_angstrom": [[3.8614, -1.8573, 0.0000], [3.8614, 1.8573, 0.0000], [-2.1431, 0.0000, 9.9756]],
  "species": ["K", "K", "Mn", "Mo"],
  "fractional_positions": [[0.0000, 0.0000, 0.0000], [0.1551, 0.1551, 0.5617], [0.4307, 0.4307, 0.2808], [0.7539, 0.7539, 0.2808]]
}



# 7
{
  "formula": "Sm2Ni",
  "functional": "GGA-PBE",
  "state": "relaxed",
  "e_form_ev_per_atom": -0.242,
  "final_energy_ev_per_atom": -5.315,
  "lattice_angstrom": [[6.2422, -1.8731, 0.0000], [6.2422, 1.8731, 0.0000], [-4.8242, 0.0000, 6.5744]],
  "species": ["Sm", "Sm", "Sm", "Sm", "Ni", "Ni"],
  "fractional_positions": [[0.0879, 0.0879, 0.3879], [0.3320, 0.3320, 0.9254], [0.6680, 0.6680, 0.0746], [0.9121, 0.9121, 0.6121], [0.3758, 0.3758, 0.3190], [0.6242, 0.6242, 0.6810]]
}



# 8
{
  "formula": "Ac3Mg3Zn8",
  "functional": "GGA-PBE",
  "state": "relaxed",
  "e_form_ev_per_atom": -0.265,
  "final_energy_ev_per_atom": -2.215,
  "lattice_angstrom": [[-2.3659, 4.6963, 7.1665], [2.3659, -4.6963, 7.1665], [2.3659, 4.6963, -7.1665]],
  "species": ["Ac", "Ac", "Ac", "Mg", "Mg", "Mg", "Zn", "Zn", "Zn", "Zn", "Zn", "Zn", "Zn", "Zn"],
  "fractional_positions": [[0.0000, 0.0000, 0.0000], [0.2954, 0.2954, 0.0000], [0.7046, 0.7046, 0.0000], [0.3006, 0.5000, 0.8006], [0.5000, 0.0000, 0.5000], [0.6994, 0.5000, 0.1994], [0.0232, 0.6627, 0.3604], [0.1305, 0.8559, 0.2746], [0.3023, 0.6627, 0.6396], [0.4188, 0.1441, 0.2746], [0.5812, 0.8559, 0.7254], [0.6977, 0.3373, 0.3604], [0.8695, 0.1441, 0.7254], [0.9768, 0.3373, 0.6396]]
}



# 9
{
  "formula": "GaAsC2",
  "functional": "GGA-PBE",
  "state": "relaxed",
  "e_form_ev_per_atom": 2.118,
  "final_energy_ev_per_atom": -4.413,
  "lattice_angstrom": [[0.0000, 2.8505, 2.8505], [2.8505, 0.0000, 2.8505], [2.8505, 2.8505, 0.0000]],
  "species": ["Ga", "As", "C", "C"],
  "fractional_positions": [[0.0000, 0.0000, 0.0000], [0.5000, 0.5000, 0.5000], [0.2500, 0.2500, 0.2500], [0.7500, 0.7500, 0.7500]]
}



# 10
{
  "formula": "CaSnRh2",
  "functional": "GGA-PBE",
  "state": "relaxed",
  "e_form_ev_per_atom": -0.539,
  "final_energy_ev_per_atom": -5.716,
  "lattice_angstrom": [[4.5346, 0.0000, 0.0000], [0.0000, 4.5346, 0.0000], [0.0000, 0.0000, 3.4810]],
  "species": ["Ca", "Sn", "Rh", "Rh"],
  "fractional_positions": [[0.0000, 0.0000, 0.0000], [0.5000, 0.5000, 0.0000], [0.0000, 0.5000, 0.5000], [0.5000, 0.0000, 0.5000]]
}



# 11
{
  "formula": "BeNi2Cl",
  "functional": "GGA-PBE",
  "state": "relaxed",
  "e_form_raw_ev_per_atom": 0.05,
  "final_energy_ev_per_atom": -4.229,
  "lattice_angstrom": [[5.9767, -1.6635, 0.0000], [5.9767, 1.6635, 0.0000], [-0.6867, 0.0000, 2.7833]],
  "species": ["Be", "Ni", "Ni", "Cl"],
  "fractional_positions": [[0.0000, 0.0000, 0.0000], [0.4468, 0.4468, 0.4502], [0.6182, 0.6182, 0.1255], [0.2558, 0.2558, 0.2626]]
}



# 12
{
  "formula": "BaSc2Hg",
  "functional": "GGA-PBE",
  "state": "relaxed",
  "e_form_ev_per_atom": 0.130,
  "final_energy_ev_per_atom": -3.592,
  "lattice_angstrom": [[3.7802, 0.0000, 0.0000], [0.0000, 5.4629, 0.0000], [0.0000, 0.0000, 5.5983]],
  "species": ["Ba", "Sc", "Sc", "Hg"],
  "fractional_positions": [[0.0000, 0.0000, 0.0000], [0.0000, 0.5000, 0.5000], [0.5000, 0.5000, 0.0000], [0.5000, 0.0000, 0.5000]]
}



# 13
{
  "formula": "Sm4Zn3Ge",
  "functional": "GGA-PBE",
  "state": "relaxed",
  "e_form_ev_per_atom": -0.432,
  "final_energy_ev_per_atom": -3.847,
  "lattice_angstrom": [[2.5679, 1.4826, 8.4434], [-2.5679, 1.4826, 8.4434], [0.0000, -2.9651, 8.4434]],
  "species": ["Sm", "Sm", "Sm", "Sm", "Zn", "Zn", "Zn", "Ge"],
  "fractional_positions": [[0.1232, 0.1232, 0.1232], [0.3736, 0.3736, 0.3736], [0.6264, 0.6264, 0.6264], [0.8768, 0.8768, 0.8768], [0.2438, 0.2438, 0.2438], [0.5000, 0.5000, 0.5000], [0.7562, 0.7562, 0.7562], [0.0000, 0.0000, 0.0000]]
}



# 14
{
  "formula": "HoSc2AuC",
  "functional": "GGA-PBE",
  "state": "relaxed",
  "e_form_ev_per_atom": -0.582,
  "final_energy_ev_per_atom": -6.530,
  "lattice_angstrom": [[4.4490, 0.0000, 0.0000], [0.0000, 4.4490, 0.0000], [0.0000, 0.0000, 4.9413]],
  "species": ["Ho", "Sc", "Sc", "Au", "C"],
  "fractional_positions": [[0.0000, 0.0000, 0.0000], [0.0000, 0.5000, 0.5001], [0.5000, 0.0000, 0.5001], [0.5000, 0.5000, 0.9988], [0.0000, 0.0000, 0.4996]]
}



# 15
{
  "formula": "LiGdInOs",
  "functional": "GGA-PBE",
  "state": "relaxed",
  "e_form_ev_per_atom": -0.102,
  "final_energy_ev_per_atom": -7.593,
  "lattice_angstrom": [[0.0000, 3.3831, 3.3831], [3.3831, 0.0000, 3.3831], [3.3831, 3.3831, 0.0000]],
  "species": ["Li", "Gd", "In", "Os"],
  "fractional_positions": [[0.0000, 0.0000, 0.0000], [0.7500, 0.7500, 0.7500], [0.2500, 0.2500, 0.2500], [0.5000, 0.5000, 0.5000]]
}



# 16
{
  "formula": "Sm4OsSe2Br",
  "functional": "GGA-PBE",
  "state": "relaxed",
  "e_form_raw_ev_per_atom": -1.17,
  "final_energy_ev_per_atom": -6.013,
  "lattice_angstrom": [[7.3717, 0.0000, 0.0000], [0.0000, 4.0773, 0.0000], [-2.1916, 0.0000, 7.1203]],
  "species": ["Sm", "Sm", "Sm", "Sm", "Os", "Se", "Se", "Br"],
  "fractional_positions": [[0.2322, 0.0000, 0.2216], [0.2471, 0.5000, 0.7829], [0.7529, 0.5000, 0.2171], [0.7678, 0.0000, 0.7784], [0.0000, 0.5000, 0.0000], [0.5000, 0.0000, 0.0000], [0.5000, 0.5000, 0.5000], [0.0000, 0.0000, 0.5000]]
}



# 17
{
  "formula": "NaMgSb2",
  "functional": "GGA-PBE",
  "state": "relaxed",
  "e_form_raw_ev_per_atom": -0.22,
  "final_energy_ev_per_atom": -3.006,
  "lattice_angstrom": [[2.3890, 1.3793, 5.7844], [-2.3890, 1.3793, 5.7844], [0.0000, -2.7586, 5.7844]],
  "species": ["Na", "Mg", "Sb", "Sb"],
  "fractional_positions": [[0.0000, 0.0000, 0.0000], [0.1845, 0.1845, 0.1845], [0.5927, 0.5927, 0.5927], [0.7614, 0.7614, 0.7614]]
}



# 18
{
  "formula": "Dy2ThSc2",
  "functional": "GGA-PBE",
  "state": "relaxed",
  "e_form_ev_per_atom": 0.059,
  "final_energy_ev_per_atom": -5.798,
  "lattice_angstrom": [[2.6339, -8.1068, 0.0000], [2.6339, 8.1068, 0.0000], [0.0000, 0.0000, 6.7441]],
  "species": ["Dy", "Dy", "Dy", "Dy", "Th", "Th", "Sc", "Sc", "Sc", "Sc"],
  "fractional_positions": [[0.0021, 0.9979, 0.5000], [0.2013, 0.7987, 0.9850], [0.7987, 0.2013, 0.4850], [0.9979, 0.0021, 0.0000], [0.3927, 0.6073, 0.7423], [0.6073, 0.3927, 0.2423], [0.1996, 0.8004, 0.4885], [0.3861, 0.6139, 0.2389], [0.6139, 0.3861, 0.7389], [0.8004, 0.1996, 0.9885]]
}



# 19
{
  "formula": "MnFeBr2",
  "functional": "GGA-PBE",
  "state": "relaxed",
  "e_form_raw_ev_per_atom": 0.38,
  "final_energy_ev_per_atom": -4.861,
  "lattice_angstrom": [[3.5899, 0.0000, 0.0000], [0.0000, 4.0749, 0.0000], [-0.3374, 0.0000, 5.7852]],
  "species": ["Mn", "Fe", "Br", "Br"],
  "fractional_positions": [[0.0000, 0.0000, 0.0000], [0.5000, 0.0000, 0.5000], [0.2735, 0.5000, 0.2562], [0.7265, 0.5000, 0.7438]]
}



# 20
{
  "formula": "La3TbTc",
  "functional": "GGA-PBE",
  "state": "relaxed",
  "e_form_ev_per_atom": -0.012,
  "final_energy_ev_per_atom": -5.967,
  "lattice_angstrom": [[6.2234, -1.9890, 0.0000], [6.2234, 1.9890, 0.0000], [-5.3301, 0.0000, 12.6513]],
  "species": ["La", "La", "La", "La", "La", "La", "Tb", "Tb", "Tc", "Tc"],
  "fractional_positions": [[0.0000, 0.0000, 0.0000], [0.0031, 0.0031, 0.6265], [0.3284, 0.3284, 0.3844], [0.3486, 0.3486, 0.7503], [0.6825, 0.6825, 0.8604], [0.7813, 0.7813, 0.1367], [0.5384, 0.5384, 0.2489], [0.6613, 0.6613, 0.5117], [0.3478, 0.3478, 0.0139], [0.9901, 0.9901, 0.3885]]
}